A plane-wave DFT calculation with PBE was carried out for AcEr3 after structural relaxation.

Computed properties:
space group = Pm-3m
N(E_F) = 1.77 states/eV per atom
formation enthalpy at 0 K = 0.0721 eV per atom

Cell lengths 5.131, 5.131, 5.131 Å; angles 90.00, 90.00, 90.00 degrees
Fractional positions:
Ac  0.000  0.000  0.000
Er  0.000  0.500  0.500
Er  0.500  0.000  0.500
Er  0.500  0.500  0.000

=====

A plane-wave DFT calculation with PBE was carried out for Pr2HoZn9 after structural relaxation.

Computed properties:
space group = R-3m
N(E_F) = 0.51 states/eV per atom
formation enthalpy at 0 K = -0.2796 eV per atom

Cell lengths 9.329, 9.329, 9.329 Å; angles 34.29, 34.29, 34.29 degrees
Fractional positions:
Pr  0.140  0.140  0.140
Pr  0.860  0.860  0.860
Ho  0.000  0.000  0.000
Zn  0.076  0.581  0.581
Zn  0.335  0.335  0.335
Zn  0.419  0.419  0.924
Zn  0.419  0.924  0.419
Zn  0.500  0.500  0.500
Zn  0.581  0.076  0.581
Zn  0.581  0.581  0.076
Zn  0.665  0.665  0.665
Zn  0.924  0.419  0.419

=====

A plane-wave DFT calculation with PBE was carried out for BiTe3Au after structural relaxation.

Computed properties:
E_tot = -2.4461 eV/atom
space group = Pm-3m
N(E_F) = 1.32 states/eV per atom

Cell lengths 5.879, 5.879, 5.879 Å; angles 90.00, 90.00, 90.00 degrees
Fractional positions:
Bi  0.000  0.000  0.000
Te  0.000  0.000  0.500
Te  0.000  0.500  0.000
Te  0.500  0.000  0.000
Au  0.500  0.500  0.500